PBE-GGA KHoHgS3, relaxed; total magnetization = 0.0 μB/cell; energy = -4.250 eV/atom
1.0
12.123 0.000 0.000
0.000 4.096 0.000
0.000 0.000 12.327
S K Ho Hg
12 4 4 4
direct
0.049 0.500 0.819 S
0.262 0.000 0.661 S
0.083 0.000 0.429 S
0.549 0.500 0.681 S
0.583 0.000 0.071 S
0.917 0.500 0.571 S
0.738 0.500 0.339 S
0.417 0.500 0.929 S
0.762 0.000 0.839 S
0.451 0.000 0.319 S
0.951 0.000 0.181 S
0.238 0.500 0.161 S
0.647 0.000 0.502 K
0.147 0.000 0.998 K
0.853 0.500 0.002 K
0.353 0.500 0.498 K
0.958 0.500 0.335 Ho
0.458 0.500 0.165 Ho
0.042 0.000 0.665 Ho
0.542 0.000 0.835 Ho
0.737 0.000 0.208 Hg
0.263 0.500 0.792 Hg
0.237 0.000 0.292 Hg
0.763 0.500 0.708 Hg